VASP calculation (SCAN) on a PBEsol-optimized structure of Sr5Sn3.

Properties
**D(E_F)**: 20.9 states/eV/cell
**Final energy**: -28.120 eV/atom
**ΔH_f (0 K)**: -0.7275 eV per atom

Structure (CIF):
```
data_Sr5Sn3
_cell_length_a 8.4717
_cell_length_b 8.4717
_cell_length_c 16.1684
_cell_angle_alpha 90.00
_cell_angle_beta 90.00
_cell_angle_gamma 90.00
_space_group_name_H-M_alt 'I 4/m c m'
_space_group_IT_number 140
_space_group_name_Hall '-I 4 2c'
loop_
_atom_site_label
_atom_site_type_symbol
_atom_site_fract_x
_atom_site_fract_y
_atom_site_fract_z
_atom_site_occupancy
Sr1 Sr 0.0000 0.0000 0.0000 1
Sr2 Sr 0.1765 0.3235 0.1426 1
Sn1 Sn 0.0000 0.0000 0.2500 1
Sn2 Sn 0.1206 0.3794 0.5000 1
```

VASP calculation (SCAN) on a PBEsol-optimized structure of HfSnSe3.

Properties
**D(E_F)**: 0.6 states/eV/cell
**Final energy**: -32.380 eV/atom
**Formation energy (no corrections)**: -0.61 eV/atom

Structure (CIF):
```
data_HfSnSe3
_cell_length_a 5.1084
_cell_length_b 5.1084
_cell_length_c 5.1084
_cell_angle_alpha 90.00
_cell_angle_beta 90.00
_cell_angle_gamma 90.00
_space_group_name_H-M_alt 'P m -3 m'
_space_group_IT_number 221
_space_group_name_Hall '-P 4 2 3'
loop_
_atom_site_label
_atom_site_type_symbol
_atom_site_fract_x
_atom_site_fract_y
_atom_site_fract_z
_atom_site_occupancy
Hf1 Hf 0.0000 0.0000 0.0000 1
Sn1 Sn 0.5000 0.5000 0.5000 1
Se1 Se 0.0000 0.0000 0.5000 1
```

VASP calculation (SCAN) on a PBEsol-optimized structure of AsRu2W.

Properties
**D(E_F)**: 7.0 states/eV/cell
**Final energy**: -39.743 eV/atom
**ΔH_f (0 K)**: 0.1396 eV per atom

Structure (CIF):
```
data_AsRu2W
_cell_length_a 9.1673
_cell_length_b 2.8555
_cell_length_c 4.4400
_cell_angle_alpha 90.00
_cell_angle_beta 95.31
_cell_angle_gamma 90.00
_space_group_name_H-M_alt 'C 1 m 1'
_space_group_IT_number 8
loop_
_space_group_symop_operation_xyz
'x,y,z'
'x,-y,z'
'x+1/2,y+1/2,z'
'x+1/2,-y+1/2,z'
loop_
_atom_site_label
_atom_site_type_symbol
_atom_site_fract_x
_atom_site_fract_y
_atom_site_fract_z
_atom_site_occupancy
As1 As 0.0000 0.0000 0.0000 1
Ru1 Ru 0.9996 0.5000 0.4890 1
Ru2 Ru 0.2673 0.5000 0.2356 1
W1 W 0.2355 0.0000 0.7148 1
```

VASP calculation (SCAN) on a PBEsol-optimized structure of SiMo2.

Properties
**D(E_F)**: 5.5 states/eV/cell
**Final energy**: -26.686 eV/atom
**Formation energy (no corrections)**: -0.09 eV/atom

Structure (CIF):
```
data_SiMo2
_cell_length_a 10.3275
_cell_length_b 3.1315
_cell_length_c 5.5034
_cell_angle_alpha 90.00
_cell_angle_beta 104.77
_cell_angle_gamma 90.00
_space_group_name_H-M_alt 'C 1 2/m 1'
_space_group_IT_number 12
loop_
_space_group_symop_operation_xyz
'x,y,z'
'-x,-y,-z'
'-x,y,-z'
'x,-y,z'
'x+1/2,y+1/2,z'
'-x+1/2,-y+1/2,-z'
'-x+1/2,y+1/2,-z'
'x+1/2,-y+1/2,z'
loop_
_atom_site_label
_atom_site_type_symbol
_atom_site_fract_x
_atom_site_fract_y
_atom_site_fract_z
_atom_site_occupancy
Si1 Si 0.1679 0.0000 0.0737 1
Mo1 Mo 0.0126 0.5000 0.2441 1
Mo2 Mo 0.1727 0.0000 0.6042 1
```

VASP calculation (SCAN) on a PBEsol-optimized structure of NiSBrN2.

Properties
**D(E_F)**: 3.7 states/eV/cell
**Final energy**: -10.558 eV/atom
**Formation energy (no corrections)**: 2.21 eV/atom

Structure (CIF):
```
data_NiSBrN2
_cell_length_a 3.5732
_cell_length_b 3.5732
_cell_length_c 6.0390
_cell_angle_alpha 90.00
_cell_angle_beta 90.00
_cell_angle_gamma 90.00
_space_group_name_H-M_alt 'P 4/m m m'
_space_group_IT_number 123
_space_group_name_Hall '-P 4 2'
loop_
_atom_site_label
_atom_site_type_symbol
_atom_site_fract_x
_atom_site_fract_y
_atom_site_fract_z
_atom_site_occupancy
Ni1 Ni 0.0000 0.0000 0.0000 1
S1 S 0.5000 0.5000 0.0000 1
Br1 Br 0.5000 0.5000 0.5000 1
N1 N 0.0000 0.5000 0.5000 1
```

VASP calculation (SCAN) on a PBEsol-optimized structure of TlSb2TeI.

Properties
**D(E_F)**: 3.8 states/eV/cell
**Final energy**: -43.688 eV/atom
**Formation energy (no corrections)**: 0.49 eV/atom

Structure (CIF):
```
data_TlSb2TeI
_cell_length_a 5.7067
_cell_length_b 5.7067
_cell_length_c 6.0192
_cell_angle_alpha 90.00
_cell_angle_beta 90.00
_cell_angle_gamma 90.00
_space_group_name_H-M_alt 'P 4/m m m'
_space_group_IT_number 123
_space_group_name_Hall '-P 4 2'
loop_
_atom_site_label
_atom_site_type_symbol
_atom_site_fract_x
_atom_site_fract_y
_atom_site_fract_z
_atom_site_occupancy
Tl1 Tl 0.0000 0.0000 0.0000 1
Sb1 Sb 0.0000 0.5000 0.5000 1
Te1 Te 0.5000 0.5000 0.5000 1
I1 I 0.5000 0.5000 0.0000 1
```

VASP calculation (SCAN) on a PBEsol-optimized structure of ReIr2Cl.

Properties
**D(E_F)**: 2.4 states/eV/cell
**Final energy**: -54.968 eV/atom
**Formation energy (no corrections)**: 0.35 eV/atom

Structure (CIF):
```
data_ReIr2Cl
_cell_length_a 2.8031
_cell_length_b 2.8031
_cell_length_c 7.6493
_cell_angle_alpha 90.00
_cell_angle_beta 90.00
_cell_angle_gamma 90.00
_space_group_name_H-M_alt 'P 4/m m m'
_space_group_IT_number 123
_space_group_name_Hall '-P 4 2'
loop_
_atom_site_label
_atom_site_type_symbol
_atom_site_fract_x
_atom_site_fract_y
_atom_site_fract_z
_atom_site_occupancy
Re1 Re 0.0000 0.0000 0.0000 1
Ir1 Ir 0.5000 0.5000 0.2302 1
Cl1 Cl 0.0000 0.0000 0.5000 1
```

VASP calculation (SCAN) on a PBEsol-optimized structure of BaLiCl2.

Properties
**D(E_F)**: 1.3 states/eV/cell
**Final energy**: -16.308 eV/atom
**Formation energy (no corrections)**: -1.83 eV/atom

Structure (CIF):
```
data_BaLiCl2
_cell_length_a 3.7448
_cell_length_b 7.6373
_cell_length_c 8.2551
_cell_angle_alpha 90.00
_cell_angle_beta 90.00
_cell_angle_gamma 90.00
_space_group_name_H-M_alt 'C m m m'
_space_group_IT_number 65
_space_group_name_Hall '-C 2 2'
loop_
_atom_site_label
_atom_site_type_symbol
_atom_site_fract_x
_atom_site_fract_y
_atom_site_fract_z
_atom_site_occupancy
Ba1 Ba 0.0000 0.0000 0.0000 1
Li1 Li 0.0000 0.0000 0.5000 1
Cl1 Cl 0.0000 0.5000 0.3014 1
```

What is the D(E_F) in the fifth record?
3.7 states/eV/cell